First-principles (PBE) data for CaP3Pd5 after structural relaxation, as listed in Alexandria.

Structure (POSCAR):
```
CaP3Pd5
1.0
3.8024 0.0000 0.0000
-1.9012 6.3422 0.0000
0.0000 0.0000 12.6923
Ca P Pd
2 6 10
direct
0.8543 0.7085 0.7500
0.1457 0.2915 0.2500
0.3879 0.7758 0.9549
0.8746 0.7492 0.2500
0.3879 0.7758 0.5451
0.6121 0.2242 0.4549
0.1254 0.2508 0.7500
0.6121 0.2242 0.0451
0.7868 0.5737 0.4182
0.2132 0.4263 0.9182
0.0000 0.0000 0.5000
0.0000 0.0000 0.0000
0.4444 0.8888 0.1458
0.5556 0.1112 0.8542
0.5556 0.1112 0.6458
0.7868 0.5737 0.0818
0.2132 0.4263 0.5818
0.4444 0.8888 0.3542
```

Magnetization (μB/f.u.): 0.000
Space group: Cmcm (63)
Uncorrected energy (eV for the cell shown): -99.42